1.
First-principles (PBE) data for crystalline NbAlO4 at its relaxed geometry, as listed in Alexandria via LeMat-Bulk.

Unit cell a=3.802 b=6.396 c=12.992 alpha=102.41 beta=98.41 gamma=72.72
Fractional coordinates of all 24 atoms:
Nb  0.800  0.509  0.114
Nb  0.890  0.098  0.883
Nb  0.105  0.399  0.615
Nb  0.195  0.989  0.383
Al  0.803  0.984  0.595
Al  0.192  0.513  0.903
Al  0.903  0.594  0.405
Al  0.092  0.903  0.093
O  0.367  0.662  0.401
O  0.267  0.039  0.578
O  0.861  0.530  0.257
O  0.865  0.003  0.740
O  0.628  0.835  0.097
O  0.130  0.494  0.758
O  0.347  0.194  0.895
O  0.055  0.822  0.937
O  0.647  0.303  0.603
O  0.741  0.940  0.427
O  0.936  0.189  0.066
O  0.134  0.967  0.241
O  0.728  0.458  0.919
O  0.940  0.675  0.560
O  0.059  0.308  0.432
O  0.254  0.557  0.071

Summary:
- Electronic total energy: -8.337 eV/atom
- Formation energy from raw total energies: -2729 meV per atom

2.
First-principles (PBE) data for crystalline Nb3AlP6O24 at its relaxed geometry, as listed in Alexandria via LeMat-Bulk.

Unit cell a=8.976 b=8.976 c=8.976 alpha=57.90 beta=57.90 gamma=57.90
Fractional coordinates of all 34 atoms:
O  0.648  0.003  0.770
O  0.222  0.365  0.996
O  0.414  0.569  0.794
O  0.003  0.770  0.648
O  0.297  0.064  0.919
O  0.508  0.140  0.267
O  0.445  0.205  0.574
O  0.862  0.724  0.498
O  0.205  0.574  0.445
O  0.715  0.941  0.063
O  0.569  0.794  0.414
O  0.365  0.996  0.222
O  0.063  0.715  0.941
O  0.919  0.297  0.064
O  0.724  0.498  0.862
O  0.267  0.508  0.140
O  0.941  0.063  0.715
O  0.064  0.919  0.297
O  0.794  0.414  0.569
O  0.140  0.267  0.508
O  0.996  0.222  0.365
O  0.498  0.862  0.724
O  0.574  0.445  0.205
O  0.770  0.648  0.003
Nb  0.640  0.640  0.640
Nb  0.141  0.141  0.141
Nb  0.358  0.358  0.358
P  0.749  0.481  0.029
P  0.481  0.029  0.749
P  0.029  0.749  0.481
P  0.233  0.545  0.968
P  0.968  0.233  0.545
P  0.545  0.968  0.233
Al  0.857  0.857  0.857

Summary:
- Electronic total energy: -7.877 eV/atom
- Formation energy from raw total energies: -2424 meV per atom

3.
First-principles (PBE) data for crystalline NbAlP2O at its relaxed geometry, as listed in Alexandria via LeMat-Bulk.

Unit cell a=4.948 b=4.948 c=3.868 alpha=90.00 beta=90.00 gamma=90.00
Fractional coordinates of all 5 atoms:
P  0.000  0.500  0.000
P  0.500  0.000  0.000
Al  0.500  0.500  0.500
Nb  0.000  0.000  0.000
O  0.000  0.000  0.500

Summary:
- Offset from the most stable computed form: 0.0 meV per atom
- Electronic total energy: -6.274 eV/atom
- Formation energy from raw total energies: -355 meV per atom

4.
First-principles (PBE) data for crystalline NbAlP2O at its relaxed geometry, as listed in Alexandria via LeMat-Bulk.

Unit cell a=4.815 b=4.815 c=3.351 alpha=90.00 beta=90.00 gamma=90.00
Fractional coordinates of all 5 atoms:
P  0.500  0.000  0.000
P  0.000  0.500  0.000
O  0.000  0.000  0.500
Nb  0.500  0.500  0.500
Al  0.000  0.000  0.000

Summary:
- Offset from the most stable computed form: 135.3 meV per atom
- Electronic total energy: -6.138 eV/atom
- Formation energy from raw total energies: -220 meV per atom

5.
First-principles (PBE) data for crystalline PaNbAl2O8 at its relaxed geometry, as listed in Alexandria via LeMat-Bulk.

Unit cell a=4.629 b=4.628 c=6.457 alpha=90.00 beta=90.00 gamma=89.19
Fractional coordinates of all 12 atoms:
O  0.307  0.306  0.000
O  0.693  0.694  0.000
O  0.319  0.318  0.500
O  0.681  0.682  0.500
O  0.208  0.791  0.771
O  0.792  0.209  0.771
O  0.208  0.791  0.229
O  0.792  0.209  0.229
Al  0.500  0.500  0.768
Al  0.500  0.500  0.232
Pa  0.000  0.000  0.500
Nb  0.000  0.000  0.000

Summary:
- Electronic total energy: -8.483 eV/atom
- Formation energy from raw total energies: -2923 meV per atom

6.
First-principles (PBE) data for crystalline PaNbAlO6 at its relaxed geometry, as listed in Alexandria via LeMat-Bulk.

Unit cell a=4.830 b=5.145 c=5.145 alpha=120.00 beta=90.00 gamma=90.00
Site moments in Bohr magnetons follow the coordinates.
Fractional coordinates of all 9 atoms:
Al  0.500  0.000  0.000  0.01
O  0.725  0.316  0.010  -0.01
O  0.275  0.990  0.684  -0.01
O  0.275  0.694  0.010  -0.01
O  0.725  0.990  0.306  -0.01
O  0.725  0.694  0.684  -0.01
O  0.275  0.316  0.306  -0.01
Pa  0.000  0.333  0.667  0.49
Nb  0.500  0.667  0.333  0.52

Summary:
- Electronic total energy: -8.861 eV/atom
- Formation energy from raw total energies: -2966 meV per atom

7.
First-principles (PBE) data for crystalline NbAlPb2O6 at its relaxed geometry, as listed in Alexandria via LeMat-Bulk.

Unit cell a=5.612 b=5.612 c=7.934 alpha=90.00 beta=90.00 gamma=90.00
Fractional coordinates of all 20 atoms:
O  0.755  0.995  0.000
O  0.255  0.495  0.500
O  0.755  0.505  0.000
O  0.000  0.750  0.245
O  0.745  0.005  0.500
O  0.255  0.005  0.500
O  0.500  0.250  0.745
O  0.245  0.995  0.000
O  0.000  0.750  0.755
O  0.745  0.495  0.500
O  0.500  0.250  0.255
O  0.245  0.505  0.000
Pb  0.500  0.752  0.250
Pb  0.500  0.752  0.750
Pb  0.000  0.248  0.250
Pb  0.000  0.248  0.750
Nb  0.000  0.749  0.500
Nb  0.500  0.251  0.000
Al  0.500  0.250  0.500
Al  0.000  0.750  0.000

Summary:
- Electronic total energy: -7.189 eV/atom
- Formation energy from raw total energies: -2091 meV per atom

8.
First-principles (PBE) data for crystalline NbAl2Pb3O9 at its relaxed geometry, as listed in Alexandria via LeMat-Bulk.

Unit cell a=5.543 b=5.543 c=6.830 alpha=90.00 beta=90.00 gamma=120.00
Fractional coordinates of all 15 atoms:
O  0.170  0.340  0.327
O  0.830  0.170  0.673
O  0.340  0.170  0.673
O  0.830  0.660  0.673
O  0.000  0.500  0.000
O  0.500  0.000  0.000
O  0.660  0.830  0.327
O  0.500  0.500  0.000
O  0.170  0.830  0.327
Pb  0.333  0.667  0.699
Pb  0.000  0.000  0.000
Pb  0.667  0.333  0.301
Nb  0.000  0.000  0.500
Al  0.667  0.333  0.836
Al  0.333  0.667  0.164

Summary:
- Electronic total energy: -6.871 eV/atom
- Formation energy from raw total energies: -1984 meV per atom